Sr3Tl2Ga PBE optimized geometry; energy of formation from the pure elements = -231 kJ/mol of formula units; total energy = -2.532 eV/atom; DOS(E_F) = 0.767 states/eV per atom; space-group type = No. 65
1.0
2.839 -8.548 0.000
2.839 8.548 0.000
0.000 0.000 8.135
Sr Tl Ga
6 4 2
Cartesian
0.000 0.000 1.971
0.000 0.000 6.163
2.839 2.904 1.932
2.839 2.904 6.203
2.839 -2.904 1.932
2.839 -2.904 6.203
2.839 5.710 4.067
2.839 0.000 0.000
2.839 0.000 4.067
2.839 -5.710 4.067
2.839 5.728 0.000
2.839 -5.728 0.000



Nb6Ga3Ge PBE optimized geometry; energy of formation from the pure elements = -79 kJ/mol of formula units; total energy = -7.493 eV/atom; DOS(E_F) = 0.547 states/eV per atom; space-group type = No. 14
1.0
5.023 0.000 0.000
0.000 7.766 0.000
-5.006 0.000 9.194
Nb Ga Ge
12 6 2
Cartesian
-0.287 1.322 0.580
-2.790 2.561 5.177
-0.280 1.329 4.006
-2.783 2.554 8.603
0.783 4.346 2.306
-1.720 7.303 6.903
1.737 0.463 2.292
-0.766 3.420 6.889
2.800 5.212 0.591
0.297 6.437 5.188
2.808 5.205 4.017
0.305 6.444 8.614
-2.503 0.000 4.597
0.000 3.883 0.000
-3.124 4.827 6.916
-0.621 6.822 2.319
0.639 0.944 6.875
3.142 2.939 2.278
2.512 0.000 0.000
0.009 3.883 4.597



NdYHoCd PBE optimized geometry; energy of formation from the pure elements = -13 kJ/mol of formula units; total energy = -4.215 eV/atom; DOS(E_F) = 1.417 states/eV per atom; space-group type = No. 216; excess energy over the best structure of this formula in the dataset = 0.1236 eV/atom
1.0
7.786 0.000 0.000
0.000 7.786 0.000
0.000 0.000 7.786
Nd Y Ho Cd
4 4 4 4
Cartesian
0.000 0.000 0.000
0.000 3.893 3.893
3.893 0.000 3.893
3.893 3.893 0.000
0.000 0.000 3.893
0.000 3.893 0.000
3.893 0.000 0.000
3.893 3.893 3.893
1.946 1.946 1.946
1.946 5.839 5.839
5.839 1.946 5.839
5.839 5.839 1.946
1.946 1.946 5.839
1.946 5.839 1.946
5.839 1.946 1.946
5.839 5.839 5.839



TaWCl2 PBE optimized geometry; total energy = -7.191 eV/atom; DOS(E_F) = 0.553 states/eV per atom; space-group type = No. 35; formation energy from raw total energies = -0.066 eV/atom; excess energy over the best structure of this formula in the dataset = 0.3505 eV/atom
1.0
3.361 0.000 0.000
0.000 5.104 0.000
0.000 0.000 9.694
Ta W Cl
2 2 4
Cartesian
0.000 0.000 0.000
1.681 2.552 0.000
0.000 2.552 7.649
1.681 0.000 7.649
0.000 0.000 5.674
0.000 2.552 1.962
1.681 0.000 1.962
1.681 2.552 5.674



TlCuF3 PBE optimized geometry; total energy = -4.018 eV/atom; DOS(E_F) = 0.024 states/eV per atom; space-group type = No. 148; formation energy from raw total energies = -1.603 eV/atom
1.0
2.808 1.621 6.333
-2.808 1.621 6.333
0.000 -3.242 6.333
Tl Cu F
2 2 6
Cartesian
0.000 0.000 2.432
0.000 0.000 16.567
0.000 0.000 6.356
0.000 0.000 12.642
-1.096 -1.362 7.435
-1.728 0.268 11.563
-0.632 1.631 7.435
0.632 -1.631 11.563
1.728 -0.268 7.435
1.096 1.362 11.563



DyCuNi2 PBE optimized geometry; energy of formation from the pure elements = -110 kJ/mol of formula units; total energy = -5.351 eV/atom; DOS(E_F) = 0.387 states/eV per atom; space-group type = No. 166
1.0
4.095 0.000 0.000
-2.047 3.546 0.000
0.000 0.000 13.333
Dy Cu Ni
3 3 6
Cartesian
0.000 0.000 0.000
0.000 2.364 8.888
2.047 1.182 4.444
0.000 0.000 6.666
0.000 2.364 2.222
2.047 1.182 11.110
0.000 0.000 2.677
0.000 0.000 10.656
0.000 2.364 6.212
0.000 2.364 11.565
2.047 1.182 1.768
2.047 1.182 7.121